# Er2As2Rh5

Crystalline Er2As2Rh5 at its relaxed geometry (PBE, Alexandria via LeMat-Bulk).

```
9
Lattice="4.213 0.000 0.000 0.000 4.213 0.000 0.000 0.000 8.754" Properties=species:S:1:pos:R:3 pbc="T T T"
Er 0.000 0.000 0.000
Er 0.000 0.000 4.377
As 2.107 2.107 1.269
As 2.107 2.107 7.485
Rh 2.107 0.000 2.355
Rh 2.107 0.000 6.399
Rh 2.107 2.107 4.377
Rh 0.000 2.107 2.355
Rh 0.000 2.107 6.399
```

Output
calculated total energy: -6.94 eV per atom
DFT formation energy: -0.804 eV per atom
symmetry: P4/mmm, No. 123

---

# ZrCoAu

Crystalline ZrCoAu at its relaxed geometry (PBE, Alexandria via LeMat-Bulk).

```
3
Lattice="3.428 0.000 0.000 -1.714 2.968 0.000 0.000 0.000 5.398" Properties=species:S:1:pos:R:3 pbc="T T T"
Au 0.000 0.000 0.163
Co 0.000 1.979 1.857
Zr 1.714 0.989 3.377
```

Output
calculated total energy: -6.33 eV per atom
DFT formation energy: -0.019 eV per atom
symmetry: P3m1, No. 156

---

# Ag3GeMo

Crystalline Ag3GeMo at its relaxed geometry (PBE, Alexandria via LeMat-Bulk).

```
5
Lattice="-3.300 -1.001 -3.400 3.466 -1.883 -2.810 -0.741 -4.348 1.999" Properties=species:S:1:pos:R:3 pbc="T T T"
Mo -0.288 -3.616 -2.106
Ge 0.000 0.000 0.000
Ag 1.733 -0.941 -1.405
Ag -0.370 -2.174 1.000
Ag -1.650 -0.500 -1.700
```

Output
calculated total energy: -3.73 eV per atom
DFT formation energy: 1.075 eV per atom
symmetry: Pm-3m, No. 221
energy above the lowest structure with this stoichiometry: 0.00 eV per formula unit

---

# Ag3MoBr8

Crystalline Ag3MoBr8 at its relaxed geometry (PBE, Alexandria via LeMat-Bulk).

```
12
Lattice="-6.643 0.709 -2.170 4.383 -2.392 -4.939 -1.619 -7.881 2.381" Properties=species:S:1:pos:R:3 pbc="T T T"
Ag 1.810 -3.055 -1.908
Ag -1.130 -0.842 -3.555
Ag -4.558 -5.667 0.734
Mo -1.939 -4.782 -2.364
Br -4.334 -4.109 -1.763
Br -3.549 -0.161 -2.947
Br -2.748 -6.872 -3.546
Br -2.192 -3.484 -4.525
Br -0.997 -2.730 -1.216
Br -1.818 -6.043 -0.170
Br 1.290 -1.522 -4.162
Br 0.456 -5.456 -2.966
```

Output
calculated total energy: -3.10 eV per atom
symmetry: C222, No. 21

---

# CdReSe2

Crystalline CdReSe2 at its relaxed geometry (PBE, Alexandria via LeMat-Bulk).

```
4
Lattice="-2.691 -2.923 -2.482 0.184 -2.779 -3.766 1.157 -6.103 1.910" Properties=species:S:1:pos:R:3 pbc="T T T"
Cd -0.877 -6.331 -2.670
Re -0.481 -1.791 -1.277
Se -2.124 -6.209 -5.448
Se -1.049 -9.078 -3.362
```

Output
calculated total energy: -5.01 eV per atom
symmetry: Cm, No. 8
energy above the lowest structure with this stoichiometry: 0.26 eV per formula unit

---

# Rb3Tb2CeS6

Crystalline Rb3Tb2CeS6 at its relaxed geometry (PBE, Alexandria via LeMat-Bulk).

```
12
Lattice="7.194 -0.001 0.000 -3.596 6.231 0.000 -1.200 -2.077 7.681" Properties=species:S:1:pos:R:3 pbc="T T T"
Rb -2.403 4.157 3.841
Rb 4.802 -0.004 3.841
Rb 1.199 2.076 3.841
Tb 0.000 4.154 0.000
Tb 3.598 2.076 0.000
Ce 0.000 0.000 0.000
S 3.623 2.031 6.195
S 2.372 4.108 1.486
S -1.225 2.122 1.487
S -0.052 4.153 6.195
S 0.026 0.044 6.196
S 2.450 0.000 1.487
```

Output
calculated total energy: -5.39 eV per atom
symmetry: C2/m, No. 12

---

# CeSmAgPt

Crystalline CeSmAgPt at its relaxed geometry (PBE, Alexandria via LeMat-Bulk).

```
4
Lattice="5.140 0.000 0.000 2.570 4.451 0.000 2.570 1.484 4.197" Properties=species:S:1:pos:R:3 pbc="T T T"
Ag 2.570 1.484 1.049
Ce 0.000 0.000 0.000
Sm 5.140 2.968 2.098
Pt 7.710 4.451 3.148
```

Output
calculated total energy: -5.48 eV per atom
DFT formation energy: -0.594 eV per atom
symmetry: F-43m, No. 216

---

# Sr5W

Crystalline Sr5W at its relaxed geometry (PBE, Alexandria via LeMat-Bulk).

```
6
Lattice="3.585 -6.209 0.000 3.585 6.209 0.000 0.000 0.000 6.830" Properties=species:S:1:pos:R:3 pbc="T T T"
Sr 3.585 2.070 0.000
Sr 3.585 -2.070 0.000
Sr 1.793 -3.105 3.415
Sr 1.793 3.105 3.415
Sr 3.585 0.000 3.415
W 0.000 0.000 0.000
```

Output
calculated total energy: -2.27 eV per atom
DFT formation energy: 1.290 eV per atom
symmetry: P6/mmm, No. 191
energy above the lowest structure with this stoichiometry: 3.90 eV per formula unit

---

# BaAs3

Crystalline BaAs3 at its relaxed geometry (PBE, Alexandria via LeMat-Bulk).

```
4
Lattice="-1.583 -4.508 -2.911 2.249 -4.393 -2.635 -0.107 -4.599 3.407" Properties=species:S:1:pos:R:3 pbc="T T T"
As 0.280 -6.750 -1.070
As 0.463 -9.873 -2.315
As 0.096 -3.626 0.176
Ba 0.000 0.000 0.000
```

Output
calculated total energy: -4.45 eV per atom
DFT formation energy: -0.483 eV per atom
symmetry: C2/m, No. 12